Entry 1:
Er4Co3Ni PBE optimized geometry; energy of formation from the pure elements = -0.2952 eV/atom; total magnetic moment = 0.00 μB per formula unit; space-group type = Pmm2, No. 25
1.0
3.8546 0.0000 0.0000
0.0000 3.8937 0.0000
0.0000 0.0000 10.2816
Er Co Ni
4 3 1
direct
0.0000 0.0000 0.0000
0.0000 0.5000 0.4958
0.5000 0.0000 0.7109
0.5000 0.5000 0.2115
0.0000 0.0000 0.2935
0.5000 0.0000 0.4187
0.5000 0.5000 0.9205
0.0000 0.5000 0.7868

Entry 2:
Er2CoNi4P3 PBE optimized geometry; energy of formation from the pure elements = -0.8452 eV/atom; total magnetic moment = 1.91 μB per formula unit; space-group type = P-4m2, No. 115
1.0
3.8632 0.0000 0.0000
0.0000 3.8632 0.0000
0.0000 0.0000 9.4032
Er Co Ni P
2 1 4 3
direct
0.0000 0.5000 0.2476
0.5000 0.0000 0.7524
0.0000 0.0000 0.5000
0.0000 0.0000 0.0000
0.0000 0.5000 0.6311
0.5000 0.0000 0.3689
0.5000 0.5000 0.0000
0.0000 0.5000 0.8669
0.5000 0.0000 0.1331
0.5000 0.5000 0.5000

Entry 3:
Er2CoNi3P4 PBE optimized geometry; energy of formation from the pure elements = -0.9648 eV/atom; total magnetic moment = 0.76 μB per formula unit; space-group type = P-4m2, No. 115
1.0
3.9371 0.0000 0.0000
0.0000 3.9371 0.0000
0.0000 0.0000 9.1086
Er Co Ni P
2 1 3 4
direct
0.0000 0.5000 0.2476
0.5000 0.0000 0.7524
0.0000 0.0000 0.5000
0.0000 0.5000 0.8792
0.5000 0.0000 0.1208
0.5000 0.5000 0.5000
0.0000 0.0000 0.0000
0.0000 0.5000 0.6316
0.5000 0.0000 0.3684
0.5000 0.5000 0.0000

Entry 4:
Er2CoNi12P3 PBE optimized geometry; energy of formation from the pure elements = -0.1040 eV/atom; total magnetic moment = 3.47 μB per formula unit; space-group type = R-3m, No. 166
1.0
4.1958 2.4225 3.8848
-4.1958 2.4225 3.8848
0.0000 -4.8449 3.8848
Er Co Ni P
2 1 12 3
direct
0.1899 0.1899 0.1899
0.8101 0.8101 0.8101
0.5000 0.5000 0.5000
0.1097 0.1097 0.6193
0.1097 0.6193 0.1097
0.1948 0.6828 0.6828
0.3172 0.3172 0.8052
0.3172 0.8052 0.3172
0.3807 0.8903 0.8903
0.6193 0.1097 0.1097
0.6828 0.1948 0.6828
0.6828 0.6828 0.1948
0.8052 0.3172 0.3172
0.8903 0.3807 0.8903
0.8903 0.8903 0.3807
0.0000 0.5000 0.5000
0.5000 0.0000 0.5000
0.5000 0.5000 0.0000

Entry 5:
ErPaCoNi PBE optimized geometry; energy of formation from the pure elements = -0.2070 eV/atom; total magnetic moment = 0.00 μB per formula unit; space-group type = F-43m, No. 216
1.0
0.0000 3.3339 3.3339
3.3339 0.0000 3.3339
3.3339 3.3339 0.0000
Er Pa Co Ni
1 1 1 1
direct
0.0000 0.0000 0.0000
0.5000 0.5000 0.5000
0.2500 0.2500 0.2500
0.7500 0.7500 0.7500

Entry 6:
ErPaCoNi PBE optimized geometry; energy of formation from the pure elements = -0.4360 eV/atom; total magnetic moment = 0.00 μB per formula unit; space-group type = Amm2, No. 38
1.0
3.8157 0.0000 0.0000
0.0000 1.7898 5.6637
0.0000 -1.7898 5.6637
Er Pa Co Ni
1 1 1 1
direct
0.0000 0.0000 0.0000
0.5000 0.2675 0.2675
0.0000 0.7466 0.7466
0.5000 0.5837 0.5837

Entry 7:
PrErCoNi PBE optimized geometry; energy of formation from the pure elements = -0.1520 eV/atom; total magnetic moment = 0.29 μB per formula unit; space-group type = F-43m, No. 216
1.0
0.0000 3.4153 3.4153
3.4153 0.0000 3.4153
3.4153 3.4153 0.0000
Pr Er Co Ni
1 1 1 1
direct
0.0000 0.0000 0.0000
0.5000 0.5000 0.5000
0.2500 0.2500 0.2500
0.7500 0.7500 0.7500

Entry 8:
ErScCoNi PBE optimized geometry; energy of formation from the pure elements = -0.3712 eV/atom; total magnetic moment = 0.34 μB per formula unit; space-group type = P4mm, No. 99
1.0
3.2240 0.0000 0.0000
0.0000 3.2240 0.0000
0.0000 0.0000 6.5163
Er Sc Co Ni
1 1 1 1
direct
0.0000 0.0000 0.0000
0.0000 0.0000 0.4905
0.5000 0.5000 0.2637
0.5000 0.5000 0.7270

Entry 9:
ErScCoNi PBE optimized geometry; energy of formation from the pure elements = -0.3476 eV/atom; total magnetic moment = 0.00 μB per formula unit; space-group type = F-43m, No. 216
1.0
0.0000 3.2368 3.2368
3.2368 0.0000 3.2368
3.2368 3.2368 0.0000
Er Sc Co Ni
1 1 1 1
direct
0.0000 0.0000 0.0000
0.5000 0.5000 0.5000
0.2500 0.2500 0.2500
0.7500 0.7500 0.7500

Entry 10:
ErCoSiNi PBE optimized geometry; total magnetic moment = 0.44 μB per formula unit; uncorrected formation energy = -0.2952 eV per atom; space-group type = Amm2, No. 38
1.0
4.1355 0.0000 0.0000
0.0000 1.6571 4.5514
0.0000 -1.6571 4.5514
Er Co Si Ni
1 1 1 1
direct
0.0000 0.0000 0.0000
0.5000 0.3262 0.3262
0.5000 0.6369 0.6369
0.0000 0.7322 0.7322

Entry 11:
Er3Co2Si6Ni PBE optimized geometry; total magnetic moment = 0.00 μB per formula unit; uncorrected formation energy = -0.3252 eV per atom; space-group type = P-3m1, No. 164
1.0
5.2336 0.0000 0.0000
-2.6168 4.5325 0.0000
0.0000 0.0000 8.6593
Er Co Si Ni
3 2 6 1
direct
0.0000 0.0000 0.0000
0.3333 0.6667 0.5803
0.6667 0.3333 0.4197
0.3333 0.6667 0.0779
0.6667 0.3333 0.9221
0.1689 0.3378 0.2784
0.1689 0.8311 0.2784
0.3378 0.1689 0.7216
0.6622 0.8311 0.2784
0.8311 0.1689 0.7216
0.8311 0.6622 0.7216
0.0000 0.0000 0.5000

Entry 12:
Er2CoSi4Ni3 PBE optimized geometry; total magnetic moment = 0.59 μB per formula unit; uncorrected formation energy = -0.8322 eV per atom; space-group type = P-4m2, No. 115
1.0
3.9118 0.0000 0.0000
0.0000 3.9118 0.0000
0.0000 0.0000 9.5581
Er Co Si Ni
2 1 4 3
direct
0.0000 0.5000 0.2490
0.5000 0.0000 0.7510
0.0000 0.0000 0.5000
0.0000 0.0000 0.0000
0.0000 0.5000 0.6299
0.5000 0.0000 0.3701
0.5000 0.5000 0.0000
0.0000 0.5000 0.8712
0.5000 0.0000 0.1288
0.5000 0.5000 0.5000

Please write out number 9 again, unchanged.
ErScCoNi PBE optimized geometry; energy of formation from the pure elements = -0.3476 eV/atom; total magnetic moment = 0.00 μB per formula unit; space-group type = F-43m, No. 216
1.0
0.0000 3.2368 3.2368
3.2368 0.0000 3.2368
3.2368 3.2368 0.0000
Er Sc Co Ni
1 1 1 1
direct
0.0000 0.0000 0.0000
0.5000 0.5000 0.5000
0.2500 0.2500 0.2500
0.7500 0.7500 0.7500